--- one ---
ScTaGa3 after structural relaxation, computed with PBE-GGA.

Geometry as POSCAR:
```
ScTaGa3
1.0
-3.7449 0.1924 3.1901
1.0176 -4.5867 1.4712
3.0296 1.7785 3.4491
Ta Ga Sc
1 3 1
direct
0.0000 0.0000 0.0000
0.0000 0.0000 0.5000
0.5000 0.0000 0.0000
0.0000 0.5000 0.0000
0.5000 0.5000 0.5000
```

Computed properties:
* space group: Pm-3m


--- two ---
ScTaGa3 after structural relaxation, computed with PBE-GGA.

Geometry as POSCAR:
```
ScTaGa3
1.0
3.7992 0.0000 0.0000
0.0000 3.7992 0.0000
-1.8996 -1.8996 6.4799
Ga Sc Ta
3 1 1
direct
0.7751 0.2751 0.5502
0.4229 0.4229 0.8458
0.2751 0.7751 0.5502
0.9917 0.9917 0.9833
0.6254 0.6254 0.2509
```

Computed properties:
* space group: I4mm


Least stable structure: one


--- one ---
TbSc2Ga after structural relaxation, computed with PBE-GGA.

Geometry as POSCAR:
```
TbSc2Ga
1.0
4.5288 0.0000 0.0000
0.0000 4.5014 0.0000
0.0000 0.0000 4.5014
Sc Tb Ga
2 1 1
direct
0.0000 0.0000 0.5000
0.0000 0.5000 0.0000
0.5000 0.5000 0.5000
0.5000 0.0000 0.0000
```

Computed properties:
* space group: P4/mmm


--- two ---
TbSc2Ga after structural relaxation, computed with PBE-GGA.

Geometry as POSCAR:
```
TbSc2Ga
1.0
4.2977 0.0004 0.0000
-2.1484 5.6879 0.0000
0.0000 0.0000 8.0422
Tb Ga Sc
2 2 4
direct
0.0602 0.1203 0.7500
0.9398 0.8797 0.2500
0.7690 0.5380 0.7500
0.2310 0.4620 0.2500
0.3577 0.7154 0.9450
0.3577 0.7154 0.5550
0.6423 0.2846 0.0550
0.6423 0.2846 0.4450
```

Computed properties:
* space group: Cmcm


--- three ---
TbSc2Ga after structural relaxation, computed with PBE-GGA.

Geometry as POSCAR:
```
TbSc2Ga
1.0
-2.8663 -1.0460 1.5101
-2.6468 -1.0119 -1.8871
1.5650 -9.8253 0.0024
Sc Ga Tb
2 1 1
direct
0.0707 0.0707 0.7878
0.2623 0.2623 0.2130
0.6663 0.6663 0.0011
0.5006 0.5006 0.4982
```

Computed properties:
* space group: R3m


Least stable structure: three


--- one ---
TbSc2Ga after structural relaxation, computed with PBE-GGA.

Geometry as POSCAR:
```
TbSc2Ga
1.0
-2.3588 -0.2688 -2.3469
0.5869 -3.2793 -0.2143
-5.7837 -1.4257 5.9763
Sc Tb Ga
2 1 1
direct
0.0000 0.0000 0.2056
0.0000 0.0000 0.7944
0.5000 0.5000 0.5000
0.5000 0.5000 0.0000
```

Computed properties:
* space group: P4/mmm


--- two ---
TbSc2Ga after structural relaxation, computed with PBE-GGA.

Geometry as POSCAR:
```
TbSc2Ga
1.0
3.2928 0.0000 0.0000
1.6464 2.8517 0.0000
1.6464 0.9506 10.7358
Tb Sc Ga
1 2 1
direct
0.0000 0.0000 0.0000
0.1017 0.1017 0.6949
0.8983 0.8983 0.3051
0.5000 0.5000 0.5000
```

Computed properties:
* space group: R-3m


Least stable structure: two